## Sr3Al2ZnAu6 (PBE-GGA)

Data for a relaxed structure of Sr3Al2ZnAu6.

a b c (Å): 6.4594 6.4594 8.4472
angles (deg): 90.00 90.00 120.00
Space group P-3m1 (No. 164)
Symmetry-distinct sites (fractional):
1 Sr 0.0000 0.0000 0.0000
2 Sr 0.3333 0.6667 0.6486
3 Al 0.3333 0.6667 0.0698
4 Zn 0.0000 0.0000 0.5000
5 Au 0.1765 0.3530 0.2958

Values from the calculation:
E_form	-512.9	kJ/mol of formula units
crystal system	trigonal
total energy	-0.238	Ry/atom
magnetization	0.00	μB per formula unit



## SrAlZn2Au5 (PBE-GGA)

Data for a relaxed structure of SrAlZn2Au5.

a b c (Å): 4.882 5.899 13.710
angles (deg): 90.00 90.00 90.00
Space group Immm (No. 71)
Symmetry-distinct sites (fractional):
1 Sr 0.000 0.000 0.000
2 Al 0.000 0.000 0.500
3 Zn 0.000 0.500 0.187
4 Au 0.000 0.256 0.345
5 Au 0.000 0.500 0.000

Values from the calculation:
E_form	-255.1	kJ/mol of formula units
crystal system	orthorhombic
total energy	-0.221	Ry/atom
magnetization	0.00	μB per formula unit



## SrAl2Zn4Au (PBE-GGA)

Data for a relaxed structure of SrAl2Zn4Au.

a b c (Å): 4.3618 4.3618 28.8019
angles (deg): 90.00 90.00 120.00
Space group R-3m (No. 166, hexagonal axes)
Symmetry-distinct sites (fractional):
1 Sr 0.0000 0.0000 0.0000
2 Al 0.0000 0.0000 0.2433
3 Zn 0.0000 0.0000 0.1296
4 Zn 0.0000 0.0000 0.4052
5 Au 0.0000 0.0000 0.5000

Values from the calculation:
E_form	-108.0	kJ/mol of formula units
crystal system	trigonal
total energy	-0.171	Ry/atom
magnetization	0.00	μB per formula unit



## TaAl2Au (PBE-GGA)

Data for a relaxed structure of TaAl2Au.

a b c (Å): 3.250 3.250 6.291
angles (deg): 90.00 90.00 90.00
Space group P4mm (No. 99)
Symmetry-distinct sites (fractional):
1 Ta 0.000 0.000 0.000
2 Al 0.000 0.000 0.491
3 Al 0.500 0.500 0.247
4 Au 0.500 0.500 0.701

Values from the calculation:
E_form	-57.4	kJ/mol of formula units
crystal system	tetragonal
total energy	-0.426	Ry/atom
magnetization	0.00	μB per formula unit